Computed, not measured: an optimized crystal structure of RbReSN2 at the GGA-PBE level of DFT.

Cell and atoms, written as extended XYZ:
```
5
Lattice="4.021 0.000 0.000 0.000 4.021 0.000 0.000 0.000 4.872" Properties=species:S:1:pos:R:3 pbc="T T T"
Rb 0.000 0.000 0.000
Re 2.011 2.011 2.436
S 2.011 2.011 0.000
N 0.000 2.011 2.436
N 2.011 0.000 2.436
```

Output
relative energy among the computed polymorphs: 0 meV/atom
volume: 79 Å³/f.u.
formation energy from raw total energies: 236.3 meV/atom
magnetization: 0.00 μB/f.u.
total energy: -6.602 eV/atom